(1)
Here is an optimized crystal structure of UNi10B3 from Alexandria via LeMat-Bulk. Energies are from PBE.

Cell lengths 7.5213, 7.5213, 7.5213 Å; angles 60.00, 60.00, 60.00 degrees
With the nearest neighbours (Å) after each atom.
Element x y z (fractional)
Ni (0.0000, 0.6605, 0.3395)  2 B 2.07
Ni (0.6605, 0.3395, 0.0000)  2 B 2.07
Ni (0.6605, 0.0000, 0.0000)  2 B 2.07
Ni (0.6145, 0.6145, 0.1564)  3 B 2.14
B (0.7346, 0.2654, 0.7346)  8 Ni 2.07-2.14
B (0.2654, 0.2654, 0.7346)  8 Ni 2.07-2.14
Ni (0.6145, 0.6145, 0.6145)  3 B 2.14
Ni (0.8436, 0.3855, 0.3855)  3 B 2.14
B (0.7346, 0.7346, 0.2654)  8 Ni 2.07-2.14
B (0.2654, 0.7346, 0.2654)  8 Ni 2.07-2.14
Ni (0.3395, 0.0000, 0.6605)  2 B 2.07
Ni (0.3855, 0.3855, 0.3855)  3 B 2.14
Ni (0.3395, 0.6605, 0.0000)  2 B 2.07
Ni (0.3855, 0.8436, 0.3855)  3 B 2.14
B (0.7346, 0.2654, 0.2654)  8 Ni 2.07-2.14
Ni (0.0000, 0.6605, 0.0000)  2 B 2.07
Ni (0.3395, 0.0000, 0.0000)  2 B 2.07
U (0.2500, 0.2500, 0.2500)  4 Ni 2.50
Ni (0.0000, 0.0000, 0.6605)  2 B 2.07
Ni (0.6605, 0.0000, 0.3395)  2 B 2.07
U (0.7500, 0.7500, 0.7500)  4 Ni 2.50
Ni (0.6145, 0.1564, 0.6145)  3 B 2.14
Ni (0.1564, 0.6145, 0.6145)  3 B 2.14
Ni (0.3855, 0.3855, 0.8436)  3 B 2.14
Ni (0.0000, 0.3395, 0.0000)  2 B 2.07
Ni (0.0000, 0.3395, 0.6605)  2 B 2.07
Ni (0.0000, 0.0000, 0.3395)  2 B 2.07
B (0.2654, 0.7346, 0.7346)  8 Ni 2.07-2.14

## Properties
Space-group type: No. 225
Energy of formation, eV per formula unit: -3.79
Final energy, eV for the cell shown: -185.85

=====

(2)
Here is an optimized crystal structure of KTePt2 from Alexandria via LeMat-Bulk. Energies are from PBE.

Cell lengths 5.8831, 5.8831, 5.8831 Å; angles 144.39, 123.98, 68.17 degrees
With the nearest neighbours (Å) after each atom.
Element x y z (fractional)
Pt (0.0572, 0.0572, 0.0000)  2 Pt 2.61
Te (0.4458, 0.4458, 0.0000)  2 Pt 2.61
K (0.7454, 0.2454, 0.5000)  8 Pt 3.30-3.53, 4 Te 3.38-3.43, 2 K 3.60
Pt (0.2516, 0.7516, 0.5000)  2 Te 2.61, 2 Pt 2.61

## Properties
Space-group type: No. 44
Raw formation energy, eV/f.u.: -0.206
Final energy, eV for the cell shown: -16.53

=====

(3)
Here is an optimized crystal structure of Na6Cd5Sn from Alexandria via LeMat-Bulk. Energies are from PBE.

Cell lengths 4.4486, 8.8812, 8.8812 Å; angles 103.94, 104.53, 104.53 degrees
With the nearest neighbours (Å) after each atom.
Element x y z (fractional)
Na (0.7504, 0.9160, 0.5846)  4 Na 3.21-3.24, 7 Cd 3.34-3.44, 1 Sn 3.41
Cd (0.0000, 0.3309, 0.6691)  4 Cd 3.21-3.25, 8 Na 3.35-3.45
Cd (0.5000, 0.5000, 0.5000)  4 Cd 3.25, 8 Na 3.35-3.41
Na (0.7504, 0.5846, 0.9160)  4 Na 3.21-3.24, 7 Cd 3.34-3.44, 1 Sn 3.41
Cd (0.5000, 0.8342, 0.1658)  2 Cd 3.21, 2 Sn 3.21, 8 Na 3.34-3.44
Sn (0.0000, 0.0000, 0.0000)  4 Cd 3.21, 8 Na 3.34-3.41
Na (0.2496, 0.4154, 0.0840)  4 Na 3.21-3.24, 7 Cd 3.34-3.44, 1 Sn 3.41
Na (0.2502, 0.7507, 0.7507)  4 Na 3.21, 2 Sn 3.34, 6 Cd 3.35-3.45
Cd (0.5000, 0.1658, 0.8342)  2 Cd 3.21, 2 Sn 3.21, 8 Na 3.34-3.44
Cd (0.0000, 0.6691, 0.3309)  4 Cd 3.21-3.25, 8 Na 3.35-3.45
Na (0.2496, 0.0840, 0.4154)  4 Na 3.21-3.24, 7 Cd 3.34-3.44, 1 Sn 3.41
Na (0.7498, 0.2493, 0.2493)  4 Na 3.21, 2 Sn 3.34, 6 Cd 3.35-3.45

## Properties
Space-group type: No. 71
Energy of formation, eV per formula unit: -1.01
Final energy, eV for the cell shown: -17.50

=====

(4)
Here is an optimized crystal structure of CeGdCoCu from Alexandria via LeMat-Bulk. Energies are from PBE.

Cell lengths 4.8636, 4.8636, 4.8636 Å; angles 60.00, 60.00, 60.00 degrees
With the nearest neighbours (Å) after each atom.
Element x y z (fractional)
Gd (0.2500, 0.2500, 0.2500)  4 Co 2.98, 4 Cu 2.98
Co (0.5000, 0.5000, 0.5000)  4 Ce 2.98, 4 Gd 2.98
Ce (0.7500, 0.7500, 0.7500)  4 Co 2.98, 4 Cu 2.98
Cu (0.0000, 0.0000, 0.0000)  4 Gd 2.98, 4 Ce 2.98

## Properties
Space-group type: No. 216
Energy of formation, eV per formula unit: -0.40
Final energy, eV for the cell shown: -31.61

=====

(5)
Here is an optimized crystal structure of CdTcBr2 from Alexandria via LeMat-Bulk. Energies are from PBE.

Cell lengths 3.7630, 3.7630, 10.7014 Å; angles 90.00, 90.00, 126.75 degrees
With the nearest neighbours (Å) after each atom.
Element x y z (fractional)
Cd (0.5000, 0.5000, 0.2500)  6 Cd 3.37-3.76
Br (0.0000, 0.0000, 0.9288)  2 Tc 2.55
Br (0.0000, 0.0000, 0.5712)  2 Tc 2.55
Tc (0.5000, 0.5000, 0.7500)  4 Br 2.55

## Properties
Space-group type: No. 65
Raw formation energy, eV/f.u.: 1.109
ΔE to the lowest computed polymorph, meV/atom: 250
Final energy, eV for the cell shown: -13.52

=====

(6)
Here is an optimized crystal structure of Nd12YHo6 from Alexandria via LeMat-Bulk. Energies are from PBE.

Cell lengths 9.2735, 9.2735, 9.2735 Å; angles 106.66, 106.66, 106.66 degrees
With the nearest neighbours (Å) after each atom.
Element x y z (fractional)
Nd (0.5162, 0.8075, 0.4187)  4 Ho 3.38-3.77, 6 Nd 3.41-3.60
Ho (0.8099, 0.5452, 0.9229)  9 Nd 3.38-3.77
Nd (0.7211, 0.8673, 0.1739)  5 Ho 3.40-3.68, 3 Nd 3.41-3.60, 1 Y 3.54
Nd (0.4187, 0.5162, 0.8075)  4 Ho 3.38-3.77, 6 Nd 3.41-3.60
Nd (0.1925, 0.5813, 0.4838)  4 Ho 3.38-3.77, 6 Nd 3.41-3.60
Nd (0.1739, 0.7211, 0.8673)  5 Ho 3.40-3.68, 3 Nd 3.41-3.60, 1 Y 3.54
Y (0.0000, 0.0000, 0.0000)  6 Nd 3.54, 6 Ho 3.83
Ho (0.0771, 0.1901, 0.4548)  9 Nd 3.38-3.77
Ho (0.1901, 0.4548, 0.0771)  9 Nd 3.38-3.77
Ho (0.5452, 0.9229, 0.8099)  9 Nd 3.38-3.77
Nd (0.8261, 0.2789, 0.1327)  5 Ho 3.40-3.68, 3 Nd 3.41-3.60, 1 Y 3.54
Ho (0.4548, 0.0771, 0.1901)  9 Nd 3.38-3.77
Nd (0.5813, 0.4838, 0.1925)  4 Ho 3.38-3.77, 6 Nd 3.41-3.60
Nd (0.1327, 0.8261, 0.2789)  5 Ho 3.40-3.68, 3 Nd 3.41-3.60, 1 Y 3.54
Nd (0.8673, 0.1739, 0.7211)  5 Ho 3.40-3.68, 3 Nd 3.41-3.60, 1 Y 3.54
Nd (0.2789, 0.1327, 0.8261)  5 Ho 3.40-3.68, 3 Nd 3.41-3.60, 1 Y 3.54
Nd (0.8075, 0.4187, 0.5162)  4 Ho 3.38-3.77, 6 Nd 3.41-3.60
Ho (0.9229, 0.8099, 0.5452)  9 Nd 3.38-3.77
Nd (0.4838, 0.1925, 0.5813)  4 Ho 3.38-3.77, 6 Nd 3.41-3.60

## Properties
Space-group type: No. 148
ΔE to the lowest computed polymorph, meV/atom: 103
Energy of formation, eV per formula unit: 4.49
Final energy, eV for the cell shown: -86.66

=====

The lowest final energy belongs to which entry?
UNi10B3

=====

Which value of final energy does entry 4 give?
-31.61 eV for the cell shown

=====

Among the records above, which one has the lowest final energy?
UNi10B3